Compound: K3SnBr2F6
Source: the Alexandria database
Functional: PBE
Structure: relaxed

Cell: 7.8530 7.8530 6.2053 Å, 90.44 90.44 48.20°
Closest atoms and distances in Å follow each position.
Positions (direct):
K1 0.0000 0.0000 0.0000  4 F 2.73
K2 0.0000 0.5000 0.5000  2 F 2.61
K3 0.5000 0.0000 0.5000  2 F 2.61
Sn1 0.5000 0.5000 0.5000  6 F 2.01
Br1 0.2360 0.2360 0.9744  1 F 3.05, 2 Br 3.25, 3 K 3.36-3.39
Br2 0.7640 0.7640 0.0256  1 F 3.05, 2 Br 3.25, 3 K 3.36-3.39
F1 0.2213 0.6706 0.6870  1 Sn 2.01
F2 0.3294 0.7787 0.3130  1 Sn 2.01
F3 0.3763 0.3763 0.3457  1 Sn 2.01
F4 0.6237 0.6237 0.6543  1 Sn 2.01
F5 0.6706 0.2213 0.6870  1 Sn 2.01
F6 0.7787 0.3294 0.3130  1 Sn 2.01

Volume = 285 Å³ per cell
Calculated total energy = -4.06 eV/atom
Crystal system = monoclinic
Formation energy without anion corrections = -2237 meV/atom

---

Compound: CoOsCl2
Source: the Alexandria database
Functional: PBE
Structure: relaxed

Cell: 4.3301 4.3301 4.3301 Å, 60.00 60.00 60.00°
Closest atoms and distances in Å follow each position.
Positions (direct):
Co1 0.0000 0.0000 0.0000  8 Cl 2.65
Os1 0.5000 0.5000 0.5000  8 Cl 2.65
Cl1 0.2500 0.2500 0.2500  4 Co 2.65, 4 Os 2.65
Cl2 0.7500 0.7500 0.7500  4 Co 2.65, 4 Os 2.65

Volume = 57 Å³ per cell
Calculated total energy = -4.27 eV/atom
Crystal system = cubic
Energy above the most stable polymorph in this dataset = 1049 meV/atom
Formation energy without anion corrections = 1235 meV/atom

---

Compound: BeCoCu2
Source: the Alexandria database
Functional: PBE
Structure: relaxed

Cell: 2.5509 2.5645 6.3763 Å, 90.00 90.00 90.00°
Closest atoms and distances in Å follow each position.
Positions (direct):
Be1 0.0000 0.0000 0.0000  4 Co 2.23, 4 Cu 2.34
Co1 0.5000 0.5000 0.2037  4 Be 2.23
Cu1 0.0000 0.0000 0.4806  4 Co 2.53, 8 Cu 2.55-2.57
Cu2 0.5000 0.5000 0.7678  4 Be 2.34, 8 Cu 2.55-2.57

Volume = 42 Å³ per cell
Energy relative to the elements = -35 meV per atom
Calculated total energy = -4.79 eV/atom
Crystal system = orthorhombic

---

Compound: Th4Tc2Hg
Source: the Alexandria database
Functional: PBE
Structure: relaxed

Cell: 7.0585 7.1969 8.6991 Å, 107.99 107.36 104.97°
Closest atoms and distances in Å follow each position.
Positions (direct):
Th1 0.0000 0.0000 0.0000  2 Tc 2.72-2.76
Th2 0.0366 0.7096 0.5918  1 Tc 2.70
Th3 0.3099 0.1559 0.4832  2 Tc 2.79-2.91
Th4 0.3843 0.5559 0.2853  1 Tc 2.70
Th5 0.4736 0.6214 0.8811  3 Tc 2.91-2.99, 1 Hg 3.19
Th6 0.5303 0.1780 0.9945  3 Tc 2.91-3.00, 1 Hg 3.19
Th7 0.7652 0.1123 0.3934  2 Tc 2.78-2.91
Th8 0.9392 0.4390 0.8777  2 Tc 2.72-2.76
Tc1 0.1527 0.2010 0.7608  4 Th 2.72-2.91
Tc2 0.3304 0.8785 0.1152  4 Th 2.72-2.91
Tc3 0.6763 0.5243 0.6254  4 Th 2.70-2.99, 1 Hg 2.96
Tc4 0.9899 0.3379 0.2514  4 Th 2.70-3.00, 1 Hg 2.96
Hg1 0.6052 0.9210 0.6618  1 Tc 2.96, 3 Th 3.10-3.19
Hg2 0.8794 0.6970 0.2148  1 Tc 2.96, 3 Th 3.10-3.19

Volume = 370 Å³ per cell
Energy relative to the elements = -143 meV per atom
Calculated total energy = -7.39 eV/atom
Crystal system = triclinic
Energy above the most stable polymorph in this dataset = 0 meV/atom

---

Compound: Y6PaSe12
Source: the Alexandria database
Functional: PBE
Structure: relaxed

Cell: 8.2610 8.2610 8.2610 Å, 99.13 99.13 99.13°
Closest atoms and distances in Å follow each position.
Positions (direct):
Y1 0.1322 0.6399 0.8187  6 Se 2.84-2.95
Y2 0.1813 0.8678 0.3601  6 Se 2.84-2.95
Y3 0.3601 0.1813 0.8678  6 Se 2.84-2.95
Y4 0.6399 0.8187 0.1322  6 Se 2.84-2.95
Y5 0.8187 0.1322 0.6399  6 Se 2.84-2.95
Y6 0.8678 0.3601 0.1813  6 Se 2.84-2.95
Pa1 0.5000 0.5000 0.5000  6 Se 2.75
Se1 0.0759 0.9233 0.6790  4 Y 2.84-2.95
Se2 0.0767 0.3210 0.9241  4 Y 2.84-2.95
Se3 0.1719 0.5342 0.4214  1 Pa 2.75, 2 Y 2.87-2.95
Se4 0.3210 0.9241 0.0767  4 Y 2.84-2.95
Se5 0.4214 0.1719 0.5342  1 Pa 2.75, 2 Y 2.87-2.95
Se6 0.4658 0.5786 0.8281  1 Pa 2.75, 2 Y 2.87-2.95
Se7 0.5342 0.4214 0.1719  1 Pa 2.75, 2 Y 2.87-2.95
Se8 0.5786 0.8281 0.4658  1 Pa 2.75, 2 Y 2.87-2.95
Se9 0.6790 0.0759 0.9233  4 Y 2.84-2.95
Se10 0.8281 0.4658 0.5786  1 Pa 2.75, 2 Y 2.87-2.95
Se11 0.9233 0.6790 0.0759  4 Y 2.84-2.95
Se12 0.9241 0.0767 0.3210  4 Y 2.84-2.95

Volume = 540 Å³ per cell
Calculated total energy = -6.40 eV/atom
Crystal system = trigonal
Formation energy without anion corrections = -1662 meV/atom

---

Compound: Hg6PdAu
Source: the Alexandria database
Functional: PBE
Structure: relaxed

Cell: 7.9060 7.9060 4.8162 Å, 107.71 107.71 121.47°
Closest atoms and distances in Å follow each position.
Positions (direct):
Hg1 0.0608 0.4318 0.7461  1 Pd 2.96, 4 Hg 2.98-3.07, 1 Au 2.98
Hg2 0.2455 0.2455 0.2456  2 Pd 2.83, 2 Au 2.86, 2 Hg 2.97-3.08
Hg3 0.4318 0.0608 0.7461  1 Pd 2.96, 4 Hg 2.98-3.07, 1 Au 2.98
Hg4 0.5682 0.9392 0.2539  1 Pd 2.96, 4 Hg 2.98-3.07, 1 Au 2.98
Hg5 0.7545 0.7545 0.7544  2 Pd 2.83, 2 Au 2.86, 2 Hg 2.97-3.08
Hg6 0.9392 0.5682 0.2539  1 Pd 2.96, 4 Hg 2.98-3.07, 1 Au 2.98
Pd1 0.0000 0.0000 0.5000  8 Hg 2.83-2.96, 2 Au 3.02
Au1 0.5000 0.5000 0.0000  8 Hg 2.86-2.98, 2 Pd 3.02

Volume = 201 Å³ per cell
Energy relative to the elements = -11 meV per atom
Calculated total energy = -1.30 eV/atom
Crystal system = monoclinic

---

Compound: RbScF3
Source: the Alexandria database
Functional: PBE
Structure: relaxed

Cell: 7.4556 7.4556 7.4556 Å, 135.20 100.07 96.64°
Closest atoms and distances in Å follow each position.
Positions (direct):
Rb1 0.1958 0.0000 0.1958  6 F 3.02-3.27
Rb2 0.8042 0.0000 0.8042  6 F 3.02-3.27
Sc1 0.3299 0.3299 0.0000  4 F 1.91-2.12
Sc2 0.6701 0.6701 0.0000  4 F 1.91-2.12
F1 0.1953 0.4347 0.2395  1 Sc 1.91
F2 0.1953 0.9558 0.7605  1 Sc 1.91
F3 0.3657 0.5000 0.8657  2 Sc 2.12
F4 0.6343 0.5000 0.1343  2 Sc 2.12
F5 0.8047 0.0442 0.2395  1 Sc 1.91
F6 0.8047 0.5653 0.7605  1 Sc 1.91

Volume = 270 Å³ per cell
Calculated total energy = -5.48 eV/atom
Crystal system = orthorhombic
Energy above the most stable polymorph in this dataset = 181 meV/atom
Formation energy without anion corrections = -2895 meV/atom

---

Compound: GdHoCd2
Source: the Alexandria database
Functional: PBE
Structure: relaxed

Cell: 3.7429 3.7429 7.5332 Å, 90.00 90.00 90.00°
Closest atoms and distances in Å follow each position.
Positions (direct):
Gd1 0.0000 0.0000 0.0000  8 Cd 3.28
Ho1 0.0000 0.0000 0.5000  8 Cd 3.22
Cd1 0.5000 0.5000 0.2577  4 Ho 3.22, 4 Gd 3.28
Cd2 0.5000 0.5000 0.7423  4 Ho 3.22, 4 Gd 3.28

Volume = 106 Å³ per cell
Energy relative to the elements = -333 meV per atom
Calculated total energy = -5.46 eV/atom
Crystal system = tetragonal
Energy above the most stable polymorph in this dataset = 1 meV/atom

---

Compound: NaZr2Be2
Source: the Alexandria database
Functional: PBE
Structure: relaxed

Cell: 7.6870 7.6870 2.9816 Å, 90.00 90.00 90.00°
Closest atoms and distances in Å follow each position.
Positions (direct):
Na1 0.0000 0.0000 0.0000  2 Na 2.98, 4 Be 3.13, 8 Zr 3.21
Na2 0.5000 0.5000 0.0000  2 Na 2.98, 4 Be 3.13, 8 Zr 3.21
Zr1 0.1748 0.3252 0.5000  6 Be 2.68-2.80, 2 Zr 2.98
Zr2 0.3252 0.8252 0.5000  6 Be 2.68-2.80, 2 Zr 2.98
Zr3 0.6748 0.1748 0.5000  6 Be 2.68-2.80, 2 Zr 2.98
Zr4 0.8252 0.6748 0.5000  6 Be 2.68-2.80, 2 Zr 2.98
Be1 0.1069 0.6069 0.0000  1 Be 2.32
Be2 0.3931 0.1069 0.0000  1 Be 2.32
Be3 0.6069 0.8931 0.0000  1 Be 2.32
Be4 0.8931 0.3931 0.0000  1 Be 2.32

Volume = 176 Å³ per cell
Energy relative to the elements = 272 meV per atom
Calculated total energy = -4.90 eV/atom
Crystal system = tetragonal

---

Compound: Nd2LuHg
Source: the Alexandria database
Functional: PBE
Structure: relaxed

Cell: 12.3999 12.3999 12.3999 Å, 16.38 16.38 16.38°
Closest atoms and distances in Å follow each position.
Positions (direct):
Nd1 0.0894 0.0894 0.0894  1 Hg 3.28, 3 Lu 3.49, 6 Nd 3.53
Nd2 0.9106 0.9106 0.9106  1 Hg 3.28, 3 Lu 3.49, 6 Nd 3.53
Lu1 0.5000 0.5000 0.5000  6 Nd 3.49, 6 Lu 3.53
Hg1 0.0000 0.0000 0.0000  2 Nd 3.28, 6 Hg 3.53

Volume = 132 Å³ per cell
Energy relative to the elements = 87 meV per atom
Calculated total energy = -3.50 eV/atom
Crystal system = trigonal
Energy above the most stable polymorph in this dataset = 287 meV/atom

---

Compound: TbLuBe2
Source: the Alexandria database
Functional: PBE
Structure: relaxed

Cell: 3.3731 3.3731 6.7615 Å, 90.00 90.00 90.00°
Closest atoms and distances in Å follow each position.
Positions (direct):
Tb1 0.0000 0.0000 0.0000  8 Be 3.00
Lu1 0.0000 0.0000 0.5000  8 Be 2.85
Be1 0.5000 0.5000 0.2698  4 Lu 2.85, 4 Tb 3.00, 1 Be 3.11
Be2 0.5000 0.5000 0.7302  4 Lu 2.85, 4 Tb 3.00, 1 Be 3.11

Volume = 77 Å³ per cell
Energy relative to the elements = 86 meV per atom
Calculated total energy = -4.06 eV/atom
Crystal system = tetragonal
Energy above the most stable polymorph in this dataset = 2 meV/atom

---

Compound: Sc4CdMo
Source: the Alexandria database
Functional: PBE
Structure: relaxed

Cell: 5.6414 5.6414 5.6414 Å, 60.00 60.00 60.00°
Closest atoms and distances in Å follow each position.
Positions (direct):
Sc1 0.3764 0.3764 0.3764  6 Sc 2.79-2.85
Sc2 0.3764 0.3764 0.8707  6 Sc 2.79-2.85
Sc3 0.3764 0.8707 0.3764  6 Sc 2.79-2.85
Sc4 0.8707 0.3764 0.3764  6 Sc 2.79-2.85
Cd1 0.0000 0.0000 0.0000  12 Sc 3.31, 4 Mo 3.45
Mo1 0.7500 0.7500 0.7500  12 Sc 3.30, 4 Cd 3.45

Volume = 127 Å³ per cell
Energy relative to the elements = 460 meV per atom
Calculated total energy = -5.72 eV/atom
Crystal system = cubic

---

Compound: FeTeP
Source: the Alexandria database
Functional: PBE
Structure: relaxed

Cell: 6.0642 5.9482 6.0642 Å, 90.00 113.53 90.00°
Closest atoms and distances in Å follow each position.
Positions (direct):
Fe1 0.2048 0.0171 0.2038  3 P 2.23-2.24
Fe2 0.2048 0.4829 0.7038  3 P 2.23-2.24
Fe3 0.7952 0.5171 0.2962  3 P 2.23-2.24
Fe4 0.7952 0.9829 0.7962  3 P 2.23-2.24
Te1 0.3438 0.6253 0.1391  3 Fe 2.56-2.59, 1 P 2.62
Te2 0.3438 0.8747 0.6391  3 Fe 2.56-2.59, 1 P 2.62
Te3 0.6562 0.1253 0.3609  3 Fe 2.56-2.59, 1 P 2.62
Te4 0.6562 0.3747 0.8609  3 Fe 2.56-2.59, 1 P 2.62
P1 0.1393 0.1486 0.8382  3 Fe 2.23-2.24
P2 0.1393 0.3514 0.3382  3 Fe 2.23-2.24
P3 0.8607 0.6486 0.6618  3 Fe 2.23-2.24
P4 0.8607 0.8514 0.1618  3 Fe 2.23-2.24

Volume = 201 Å³ per cell
Calculated total energy = -6.02 eV/atom
Crystal system = monoclinic
Energy above the most stable polymorph in this dataset = 0 meV/atom
Formation energy without anion corrections = -352 meV/atom

---

Compound: HfMn3Bi
Source: the Alexandria database
Functional: PBE
Structure: relaxed

Cell: 4.8334 4.8334 4.8334 Å, 90.00 90.00 90.00°
Closest atoms and distances in Å follow each position.
Positions (direct):
Hf1 0.0000 0.0000 0.0000  6 Mn 2.42
Mn1 0.0000 0.0000 0.5000  2 Hf 2.42
Mn2 0.0000 0.5000 0.0000  2 Hf 2.42
Mn3 0.5000 0.0000 0.0000  2 Hf 2.42
Bi1 0.5000 0.5000 0.5000  12 Mn 3.42

Volume = 113 Å³ per cell
Energy relative to the elements = 1171 meV per atom
Calculated total energy = -7.10 eV/atom
Crystal system = cubic
Energy above the most stable polymorph in this dataset = 0 meV/atom

---

Compound: Ba3Li2Al7
Source: the Alexandria database
Functional: PBE
Structure: relaxed

Cell: 10.1270 10.1270 10.1270 Å, 34.18 34.18 34.18°
Closest atoms and distances in Å follow each position.
Positions (direct):
Ba1 0.0000 0.0000 0.0000  6 Li 3.44, 12 Al 3.76
Ba2 0.1416 0.1416 0.1416  12 Al 3.45-3.60, 3 Ba 3.72
Ba3 0.8584 0.8584 0.8584  12 Al 3.45-3.60, 3 Ba 3.72
Li1 0.3352 0.3352 0.3352  6 Al 2.84-2.91
Li2 0.6648 0.6648 0.6648  6 Al 2.84-2.91
Al1 0.0771 0.5823 0.5823  2 Li 2.84-2.91, 5 Al 2.94-3.01
Al2 0.4177 0.4177 0.9229  2 Li 2.84-2.91, 5 Al 2.94-3.01
Al3 0.4177 0.9229 0.4177  2 Li 2.84-2.91, 5 Al 2.94-3.01
Al4 0.5000 0.5000 0.5000  6 Al 3.01
Al5 0.5823 0.0771 0.5823  2 Li 2.84-2.91, 5 Al 2.94-3.01
Al6 0.5823 0.5823 0.0771  2 Li 2.84-2.91, 5 Al 2.94-3.01
Al7 0.9229 0.4177 0.4177  2 Li 2.84-2.91, 5 Al 2.94-3.01

Volume = 292 Å³ per cell
Energy relative to the elements = -186 meV per atom
Calculated total energy = -3.17 eV/atom
Crystal system = trigonal

---

Compound: TeAs2Rh
Source: the Alexandria database
Functional: PBE
Structure: relaxed

Cell: 6.1654 6.1654 6.1654 Å, 151.36 133.18 55.81°
Closest atoms and distances in Å follow each position.
Positions (direct):
Te1 0.0000 0.0000 0.0000  4 Rh 2.89, 2 Te 3.05, 4 As 3.22
As1 0.3081 0.8081 0.5000  2 Rh 2.59
As2 0.6919 0.1919 0.5000  2 Rh 2.59
Rh1 0.5000 0.5000 0.0000  4 As 2.59, 4 Te 2.89

Volume = 81 Å³ per cell
Calculated total energy = -4.88 eV/atom
Crystal system = orthorhombic
Formation energy without anion corrections = 70 meV/atom

---

Compound: PmNd3Al8
Source: the Alexandria database
Functional: PBE
Structure: relaxed

Cell: 9.8472 9.8472 9.8472 Å, 33.51 33.51 33.51°
Closest atoms and distances in Å follow each position.
Positions (direct):
Pm1 0.0000 0.0000 0.0000  12 Al 3.33, 4 Nd 3.48
Nd1 0.3751 0.3751 0.3751  12 Al 3.33, 3 Pm 3.48, 1 Nd 3.48
Nd2 0.5001 0.5001 0.5001  12 Al 3.33-3.34, 4 Nd 3.48
Nd3 0.8752 0.8752 0.8752  12 Al 3.33-3.34, 3 Nd 3.48, 1 Pm 3.48
Al1 0.1877 0.1877 0.1877  6 Al 2.84-2.85
Al2 0.4372 0.9375 0.9375  6 Al 2.84-2.85
Al3 0.4378 0.4378 0.9379  6 Al 2.84
Al4 0.4378 0.9379 0.4378  6 Al 2.84
Al5 0.6875 0.6875 0.6875  6 Al 2.84
Al6 0.9375 0.4372 0.9375  6 Al 2.84-2.85
Al7 0.9379 0.4378 0.4378  6 Al 2.84
Al8 0.9375 0.9375 0.4372  6 Al 2.84-2.85

Volume = 259 Å³ per cell
Energy relative to the elements = -502 meV per atom
Calculated total energy = -4.58 eV/atom
Crystal system = trigonal
Energy above the most stable polymorph in this dataset = 0 meV/atom

---

Compound: Ba2TlVIr
Source: the Alexandria database
Functional: PBE
Structure: relaxed

Cell: 6.4032 6.4032 5.1199 Å, 90.00 90.00 90.00°
Closest atoms and distances in Å follow each position.
Positions (direct):
Ba1 0.0000 0.5000 0.0000  2 Tl 3.20
Ba2 0.5000 0.0000 0.0000  2 Tl 3.20
Tl1 0.0000 0.0000 0.0000  2 V 2.56
V1 0.0000 0.0000 0.5000  2 Tl 2.56
Ir1 0.5000 0.5000 0.5000  8 Ba 4.10, 4 V 4.53

Volume = 210 Å³ per cell
Energy relative to the elements = 1201 meV per atom
Calculated total energy = -3.64 eV/atom
Crystal system = tetragonal

---

Compound: LiYTlAu
Source: the Alexandria database
Functional: PBE
Structure: relaxed

Cell: 4.9939 4.9939 4.9939 Å, 60.00 60.00 60.00°
Closest atoms and distances in Å follow each position.
Positions (direct):
Li1 0.0000 0.0000 0.0000  4 Au 3.06, 4 Tl 3.06
Y1 0.5000 0.5000 0.5000  4 Tl 3.06, 4 Au 3.06
Tl1 0.2500 0.2500 0.2500  4 Li 3.06, 4 Y 3.06
Au1 0.7500 0.7500 0.7500  4 Li 3.06, 4 Y 3.06

Volume = 88 Å³ per cell
Energy relative to the elements = -499 meV per atom
Calculated total energy = -4.00 eV/atom
Crystal system = cubic

---

Compound: MgTl2AsSe4
Source: the Alexandria database
Functional: PBE
Structure: relaxed

Cell: 8.3117 8.3117 8.3117 Å, 120.38 119.83 89.82°
Closest atoms and distances in Å follow each position.
Positions (direct):
Mg1 0.0000 0.0000 0.0000  6 Se 2.78-2.80
Mg2 0.5000 0.0000 0.5000  6 Se 2.78-2.80
Tl1 0.0000 0.5000 0.5000  6 Se 3.11
Tl2 0.5000 0.0000 0.0000  6 Se 3.12-3.15
Tl3 0.5000 0.5000 0.0000  6 Se 3.11
Tl4 0.5000 0.5000 0.5000  6 Se 3.12-3.15
As1 0.0000 0.0000 0.5000  6 Se 2.76
As2 0.0000 0.5000 0.0000  6 Se 2.76
Se1 0.2063 0.2370 0.9693  2 As 2.76, 1 Mg 2.80
Se2 0.2323 0.7630 0.4693  2 As 2.76, 1 Mg 2.80
Se3 0.2335 0.2058 0.4722  1 As 2.76, 2 Mg 2.78
Se4 0.2335 0.7613 0.0278  1 As 2.76, 2 Mg 2.78
Se5 0.7665 0.2387 0.9722  1 As 2.76, 2 Mg 2.78
Se6 0.7665 0.7942 0.5278  1 As 2.76, 2 Mg 2.78
Se7 0.7677 0.2370 0.5307  2 As 2.76, 1 Mg 2.80
Se8 0.7937 0.7630 0.0307  2 As 2.76, 1 Mg 2.80

Volume = 405 Å³ per cell
Calculated total energy = -3.57 eV/atom
Crystal system = orthorhombic
Formation energy without anion corrections = -455 meV/atom